Computed, not measured: a relaxed structure of MnMo3 at the GGA-PBE level of DFT.

Values from the calculation:
Total DFT energy (no corrections): -10.14 eV/atom
Crystal system: tetragonal
DFT formation energy: 0.28 eV/atom
Density of states at the Fermi level: 7.98 states/eV/cell

Cell and atoms, written as extended XYZ:
```
8
Lattice="-1.871 1.871 8.685 1.871 -1.871 8.685 1.871 1.871 -8.685" Properties=species:S:1:pos:R:3 pbc="T T T"
Mn 0.000 0.000 2.199
Mn 0.000 0.000 15.171
Mo 1.871 0.000 0.000
Mo 1.871 0.000 4.342
Mo 0.000 0.000 6.542
Mo 0.000 1.871 0.000
Mo 0.000 0.000 10.827
Mo 0.000 1.871 4.342
```